Entry from Alexandria via LeMat-Bulk: crystalline Ce2InNi4P3 at its relaxed geometry (PBE-GGA).

abc: 4.004 4.004 9.904
angles: 90.00 90.00 90.00
Space group P-4m2 (No. 115)
Symmetry-distinct sites (fractional):
Ce1 0.000 0.500 0.230 x2
In1 0.000 0.000 0.500 x1
Ni1 0.000 0.000 0.000 x1
Ni2 0.000 0.500 0.654 x2
Ni3 0.500 0.500 0.000 x1
P1 0.000 0.500 0.878 x2
P2 0.500 0.500 0.500 x1

## Properties
ΔH_f (0 K): -821 meV/atom
Fermi-level density of states: 6.9 states/eV per cell
V: 15.9 Å³/atom


Entry from Alexandria via LeMat-Bulk: crystalline CaP2S2 at its relaxed geometry (PBE-GGA).

abc: 5.197 5.197 5.489
angles: 90.00 90.00 90.00
Space group P4/mmm (No. 123)
Symmetry-distinct sites (fractional):
Ca1 0.000 0.000 0.000 x1
P1 0.000 0.000 0.500 x1
P2 0.500 0.500 0.500 x1
S1 0.000 0.500 0.000 x2

## Properties
Energy above the lowest structure with this stoichiometry: 6.50 eV per formula unit
Formation energy from raw total energies: 1.0246 eV per atom
Fermi-level density of states: 5.5 states/eV per cell
V: 29.7 Å³/atom